The following is a DFT calculation (PBE) of Li2PrAlZn4 after structural relaxation.

The space group is R-3m (No. 166, hexagonal axes) and the conventional cell measures 4.3350, 4.3350 and 27.1764 Å, with angles of 90.00, 90.00 and 120.00 degrees. The asymmetric unit holds Li at (0.0000, 0.0000, 0.2308), Pr at (0.0000, 0.0000, 0.0000), Al at (0.0000, 0.0000, 0.5000), Zn at (0.0000, 0.0000, 0.1230) and Zn at (0.0000, 0.0000, 0.4028).

Its spin magnetization is 0.00 μB per atom. As for the crystal system: trigonal. Its energy of formation is -0.1978 eV per atom. Its total DFT energy (no corrections) is -2.379 eV per atom.